Here is a relaxed VCrSnF6 crystal from the Alexandria database. Energies are from PBE+U.

Structure (POSCAR):
```
VCrSnF6
1.0
5.6102 0.0000 0.0000
-2.8051 4.8586 0.0000
0.0000 0.0000 10.1896
V Cr Sn F
2 2 2 12
direct
0.6667 0.3333 0.2500
0.3333 0.6667 0.7500
0.3333 0.6667 0.2500
0.6667 0.3333 0.7500
0.0000 0.0000 0.0000
0.0000 0.0000 0.5000
0.6464 0.6461 0.1405
0.9997 0.3536 0.1405
0.3536 0.9997 0.6405
0.0003 0.6464 0.8595
0.3539 0.3536 0.3595
0.9997 0.6461 0.3595
0.6461 0.9997 0.8595
0.6464 0.0003 0.3595
0.0003 0.3539 0.6405
0.3539 0.0003 0.1405
0.6461 0.6464 0.6405
0.3536 0.3539 0.8595
```

symmetry	No. 163
raw total energy	-5.7519	eV/atom
theoretical density	4.01	g cm⁻³
size of the total moment	14.00	μB/cell
crystal system	trigonal